# 1
VASP calculation (PBE-GGA) on crystalline Ca3InO at its relaxed geometry.

Results
Total moment ... 0.00 μB/f.u.
Formation energy (no corrections) ... -367.2 meV per atom
Electronic total energy ... -31.1 eV for the cell shown
ρ ... 2570 kg/m³

Lattice parameters (Å, degrees): 4.688 4.688 17.045 90.00 90.00 120.00
Positions (direct):
Ca (0.333, 0.667, 0.567)
Ca (0.000, 0.000, 0.250)
Ca (0.667, 0.333, 0.067)
O (0.000, 0.000, 0.000)
Ca (0.667, 0.333, 0.433)
O (0.000, 0.000, 0.500)
Ca (0.333, 0.667, 0.933)
In (0.333, 0.667, 0.750)
Ca (0.000, 0.000, 0.750)
In (0.667, 0.333, 0.250)

# 2
VASP calculation (PBE-GGA) on crystalline Ca3InO at its relaxed geometry.

Results
Total moment ... 1.00 μB/f.u.
Formation energy (no corrections) ... 52.4 meV per atom
Electronic total energy ... -26.9 eV for the cell shown
ρ ... 2288 kg/m³

Lattice parameters (Å, degrees): 5.596 5.596 12.291 76.84 76.84 90.00
Each line ends with the local moment (μB).
Positions (direct):
Ca (0.131, 0.898, 0.739)  0.15
Ca (0.697, 0.697, 0.607)  0.01
In (0.250, 0.750, 0.500)  0.04
O (0.652, 0.152, 0.697)  0.04
O (0.848, 0.348, 0.303)  0.03
Ca (0.131, 0.363, 0.739)  0.15
In (0.000, 0.000, 0.000)  0.13
Ca (0.102, 0.869, 0.261)  0.08
Ca (0.637, 0.869, 0.261)  0.08
Ca (0.303, 0.303, 0.393)  0.01